# Hg2Rh (GGA-PBE, relaxed)
data_Hg2Rh
_symmetry_space_group_name_H-M 'P n n m'
_symmetry_Int_Tables_number 58
_cell_length_a 7.064
_cell_length_b 7.073
_cell_length_c 2.974
_cell_angle_alpha 90.00
_cell_angle_beta 90.00
_cell_angle_gamma 90.00
loop_
_symmetry_equiv_pos_as_xyz
'x,y,z'
'-x,-y,-z'
'-x,-y,z'
'x,y,-z'
'x+1/2,-y+1/2,-z+1/2'
'-x+1/2,y+1/2,z+1/2'
'-x+1/2,y+1/2,-z+1/2'
'x+1/2,-y+1/2,z+1/2'
loop_
_atom_site_label
_atom_site_type_symbol
_atom_site_fract_x
_atom_site_fract_y
_atom_site_fract_z
_atom_site_occupancy
Hg1 Hg 0.232 0.231 0.000 1
Rh1 Rh 0.000 0.000 0.500 1
# ΔH_f (0 K) (eV per atom): 0.25
# Energy (eV/atom): -2.40

---

# Hg5Rh3 (GGA-PBE, relaxed)
data_Hg5Rh3
_symmetry_space_group_name_H-M 'C m m m'
_symmetry_Int_Tables_number 65
_symmetry_space_group_name_Hall '-C 2 2'
_cell_length_a 7.880
_cell_length_b 8.579
_cell_length_c 4.357
_cell_angle_alpha 90.00
_cell_angle_beta 90.00
_cell_angle_gamma 90.00
loop_
_atom_site_label
_atom_site_type_symbol
_atom_site_fract_x
_atom_site_fract_y
_atom_site_fract_z
_atom_site_occupancy
Hg1 Hg 0.000 0.000 0.000 1
Hg2 Hg 0.221 0.500 0.500 1
Hg3 Hg 0.250 0.250 0.000 1
Rh1 Rh 0.000 0.229 0.500 1
Rh2 Rh 0.000 0.500 0.000 1
# ΔH_f (0 K) (eV per atom): 0.17
# Energy (eV/atom): -2.78

---

# Hg2Rh (GGA-PBE, relaxed)
data_Hg2Rh
_symmetry_space_group_name_H-M 'C m c m'
_symmetry_Int_Tables_number 63
_symmetry_space_group_name_Hall '-C 2c 2'
_cell_length_a 3.075
_cell_length_b 15.616
_cell_length_c 4.913
_cell_angle_alpha 90.00
_cell_angle_beta 90.00
_cell_angle_gamma 90.00
loop_
_atom_site_label
_atom_site_type_symbol
_atom_site_fract_x
_atom_site_fract_y
_atom_site_fract_z
_atom_site_occupancy
Hg1 Hg 0.000 0.062 0.250 1
Hg2 Hg 0.000 0.369 0.250 1
Rh1 Rh 0.000 0.280 0.750 1
# ΔH_f (0 K) (eV per atom): 0.27
# Energy (eV/atom): -2.38

---

Among the records above, which one has the lowest energy?
Hg5Rh3

---

Please write out number 3 again, unchanged.
# Hg2Rh (GGA-PBE, relaxed)
data_Hg2Rh
_symmetry_space_group_name_H-M 'C m c m'
_symmetry_Int_Tables_number 63
_symmetry_space_group_name_Hall '-C 2c 2'
_cell_length_a 3.075
_cell_length_b 15.616
_cell_length_c 4.913
_cell_angle_alpha 90.00
_cell_angle_beta 90.00
_cell_angle_gamma 90.00
loop_
_atom_site_label
_atom_site_type_symbol
_atom_site_fract_x
_atom_site_fract_y
_atom_site_fract_z
_atom_site_occupancy
Hg1 Hg 0.000 0.062 0.250 1
Hg2 Hg 0.000 0.369 0.250 1
Rh1 Rh 0.000 0.280 0.750 1
# ΔH_f (0 K) (eV per atom): 0.27
# Energy (eV/atom): -2.38

---

Which value of energy does entry 2 give?
-2.78 eV/atom